# 1
Compound: PaSiIO4
Source: the Alexandria database
Functional: GGA-PBE
Structure: optimized geometry

## Properties
- calculated total energy (Ha/atom) = -0.2900
- total magnetization (μB/cell) = 0.14
- SG = No. 12
- calculated volume (Å³ per cell) = 232.39
- formation energy from raw total energies (eV/f.u.) = -18.93
- density (g/cm³) = 6.43

Lattice parameters (Å, degrees): 6.2508 6.2508 6.7388 102.33 102.33 65.88
Closest atoms and distances in Å follow each position.
Positions (direct):
Pa: 0.2343 0.2343 0.3391  4 O 2.12-2.26
Pa: 0.7657 0.7657 0.6609  4 O 2.12-2.26
Si: 0.1352 0.1352 0.7644  4 O 1.64-1.67
Si: 0.8648 0.8648 0.2356  4 O 1.64-1.67
I: 0.4813 0.4813 0.7466  2 Pa 3.18-3.26, 9 O 3.19-3.55, 2 I 3.34-3.44
I: 0.5187 0.5187 0.2534  2 Pa 3.18-3.26, 9 O 3.19-3.55, 2 I 3.34-3.44
O: 0.0066 0.3789 0.6509  1 Si 1.67
O: 0.0264 0.0264 0.2875  1 Si 1.64
O: 0.1954 0.1954 0.0142  1 Si 1.64
O: 0.3789 0.0066 0.6509  1 Si 1.67
O: 0.6211 0.9934 0.3491  1 Si 1.67
O: 0.8046 0.8046 0.9858  1 Si 1.64
O: 0.9736 0.9736 0.7125  1 Si 1.64
O: 0.9934 0.6211 0.3491  1 Si 1.67

=====

# 2
Compound: PaSnIO4
Source: the Alexandria database
Functional: GGA-PBE
Structure: optimized geometry

## Properties
- calculated total energy (Ha/atom) = -0.2628
- total magnetization (μB/cell) = 0.00
- SG = No. 12
- calculated volume (Å³ per cell) = 271.91
- formation energy from raw total energies (eV/f.u.) = -15.17
- density (g/cm³) = 6.60

Lattice parameters (Å, degrees): 6.7024 6.7024 7.2106 106.33 106.33 62.76
Closest atoms and distances in Å follow each position.
Positions (direct):
Pa: 0.2411 0.2411 0.3603  4 O 2.09-2.18
Pa: 0.7589 0.7589 0.6397  4 O 2.09-2.18
Sn: 0.1299 0.1299 0.7645  4 O 1.96-2.01
Sn: 0.8701 0.8701 0.2355  4 O 1.96-2.01
I: 0.4938 0.4938 0.2468  2 Pa 3.26-3.40, 7 O 3.34-3.57, 2 I 3.61
I: 0.5062 0.5062 0.7532  2 Pa 3.26-3.40, 7 O 3.34-3.57, 2 I 3.61
O: 0.0176 0.4120 0.6502  1 Sn 2.01, 1 Pa 2.18
O: 0.0516 0.0516 0.3309  1 Sn 1.96, 1 Pa 2.11
O: 0.1856 0.1856 0.0533  1 Sn 1.97, 1 Pa 2.09
O: 0.4120 0.0176 0.6502  1 Sn 2.01, 1 Pa 2.18
O: 0.5880 0.9824 0.3498  1 Sn 2.01, 1 Pa 2.18
O: 0.8144 0.8144 0.9467  1 Sn 1.97, 1 Pa 2.09
O: 0.9484 0.9484 0.6691  1 Sn 1.96, 1 Pa 2.11
O: 0.9824 0.5880 0.3498  1 Sn 2.01, 1 Pa 2.18

=====

# 3
Compound: SrPaI2O8
Source: the Alexandria database
Functional: GGA-PBE
Structure: optimized geometry

## Properties
- calculated total energy (Ha/atom) = -0.2193
- total magnetization (μB/cell) = 0.97
- SG = No. 164
- calculated volume (Å³ per cell) = 254.91
- formation energy from raw total energies (eV/f.u.) = -17.68
- density (g/cm³) = 4.56

Lattice parameters (Å, degrees): 6.5031 6.5031 6.9601 90.00 90.00 120.00
Closest atoms and distances in Å follow each position.
Positions (direct):
Sr: 0.0000 0.0000 0.0000  6 O 2.65
Pa: 0.0000 0.0000 0.5000  6 O 2.20
I: 0.3333 0.6667 0.2815  1 O 1.80
I: 0.6667 0.3333 0.7185  1 O 1.80
O: 0.1483 0.2966 0.2949  1 I 2.09, 1 Pa 2.20
O: 0.1483 0.8517 0.2949  1 I 2.09, 1 Pa 2.20
O: 0.2966 0.1483 0.7051  1 I 2.09, 1 Pa 2.20
O: 0.3333 0.6667 0.0236  1 I 1.80
O: 0.6667 0.3333 0.9764  1 I 1.80
O: 0.7034 0.8517 0.2949  1 I 2.09, 1 Pa 2.20
O: 0.8517 0.1483 0.7051  1 I 2.09, 1 Pa 2.20
O: 0.8517 0.7034 0.7051  1 I 2.09, 1 Pa 2.20

=====

# 4
Compound: Tb2PaIO8
Source: the Alexandria database
Functional: GGA-PBE
Structure: optimized geometry

## Properties
- calculated total energy (Ha/atom) = -0.2791
- total magnetization (μB/cell) = 0.00
- SG = No. 65
- calculated volume (Å³ per cell) = 182.30
- formation energy from raw total energies (eV/f.u.) = -31.16
- density (g/cm³) = 7.32

Lattice parameters (Å, degrees): 5.1046 5.1046 7.0001 90.00 90.00 91.96
Closest atoms and distances in Å follow each position.
Positions (direct):
Tb: 0.0000 0.0000 0.2452  6 O 2.27-2.32
Tb: 0.0000 0.0000 0.7548  6 O 2.27-2.32
Pa: 0.5000 0.5000 0.5000  6 O 2.11-2.25
I: 0.5000 0.5000 0.0000  6 O 2.06-2.17
O: 0.2020 0.2020 0.5000  1 Pa 2.11, 2 Tb 2.29
O: 0.2102 0.2102 0.0000  1 I 2.06, 2 Tb 2.27
O: 0.3159 0.6841 0.2424  1 I 2.17, 1 Pa 2.25, 1 Tb 2.32
O: 0.3159 0.6841 0.7576  1 I 2.17, 1 Pa 2.25, 1 Tb 2.32
O: 0.6841 0.3159 0.2424  1 I 2.17, 1 Pa 2.25, 1 Tb 2.32
O: 0.6841 0.3159 0.7576  1 I 2.17, 1 Pa 2.25, 1 Tb 2.32
O: 0.7898 0.7898 0.0000  1 I 2.06, 2 Tb 2.27
O: 0.7980 0.7980 0.5000  1 Pa 2.11, 2 Tb 2.29

=====

# 5
Compound: PaTc2IO8
Source: the Alexandria database
Functional: GGA-PBE
Structure: optimized geometry

## Properties
- calculated total energy (Ha/atom) = -0.2824
- total magnetization (μB/cell) = 0.73
- SG = No. 164
- calculated volume (Å³ per cell) = 247.28
- formation energy from raw total energies (eV/f.u.) = -20.76
- density (g/cm³) = 4.58

Lattice parameters (Å, degrees): 6.5311 6.5311 6.6941 90.00 90.00 120.00
Closest atoms and distances in Å follow each position.
Positions (direct):
Pa: 0.0000 0.0000 0.0000  6 O 2.24
Tc: 0.3333 0.6667 0.7809  4 O 1.71-1.80
Tc: 0.6667 0.3333 0.2191  4 O 1.71-1.80
I: 0.0000 0.0000 0.5000  6 O 3.26, 2 Pa 3.35
O: 0.1841 0.3682 0.8755  1 Tc 1.80
O: 0.1841 0.8159 0.8755  1 Tc 1.80
O: 0.3333 0.6667 0.5256  1 Tc 1.71
O: 0.3682 0.1841 0.1245  1 Tc 1.80
O: 0.6318 0.8159 0.8755  1 Tc 1.80
O: 0.6667 0.3333 0.4744  1 Tc 1.71
O: 0.8159 0.1841 0.1245  1 Tc 1.80
O: 0.8159 0.6318 0.1245  1 Tc 1.80

=====

# 6
Compound: PaTeIO
Source: the Alexandria database
Functional: GGA-PBE
Structure: optimized geometry

## Properties
- calculated total energy (Ha/atom) = -0.2435
- total magnetization (μB/cell) = 0.00
- SG = No. 8
- calculated volume (Å³ per cell) = 111.03
- formation energy from raw total energies (eV/f.u.) = -7.36
- density (g/cm³) = 7.50

Lattice parameters (Å, degrees): 3.9326 3.9326 8.5976 103.27 103.27 60.00
Closest atoms and distances in Å follow each position.
Positions (direct):
Pa: 0.0000 0.0000 0.0000  3 O 2.27
Te: 0.2467 0.2467 0.7413  3 Pa 3.12, 3 O 3.22
I: 0.4316 0.4316 0.2938  3 O 3.23, 3 Pa 3.33
O: 0.6723 0.6723 0.0169  3 Pa 2.27

=====

# 7
Compound: PaTeIO6
Source: the Alexandria database
Functional: GGA-PBE
Structure: optimized geometry

## Properties
- calculated total energy (Ha/atom) = -0.2428
- total magnetization (μB/cell) = 0.00
- SG = No. 74
- calculated volume (Å³ per cell) = 336.31
- formation energy from raw total energies (eV/f.u.) = -15.53
- density (g/cm³) = 5.74

Lattice parameters (Å, degrees): 7.7485 7.7485 7.7485 123.24 111.75 94.66
Closest atoms and distances in Å follow each position.
Positions (direct):
Pa: 0.0000 0.0000 0.0000  4 O 2.10
Pa: 0.5000 0.0000 0.5000  4 O 2.10
Te: 0.5000 0.0000 0.0000  6 O 1.94-1.98
Te: 0.5000 0.5000 0.5000  6 O 1.94-1.98
I: 0.0421 0.2921 0.7500  1 O 2.02
I: 0.9579 0.7079 0.2500  1 O 2.02
O: 0.1506 0.9006 0.2500  1 I 2.02
O: 0.2182 0.3187 0.2878  1 Te 1.94, 1 Pa 2.10
O: 0.2182 0.9304 0.8996  1 Te 1.94, 1 Pa 2.10
O: 0.4314 0.6814 0.7500  2 Te 1.98
O: 0.4692 0.0696 0.7878  1 Te 1.94, 1 Pa 2.10
O: 0.4692 0.6813 0.3996  1 Te 1.94, 1 Pa 2.10
O: 0.5308 0.3187 0.6004  1 Te 1.94, 1 Pa 2.10
O: 0.5308 0.9304 0.2122  1 Te 1.94, 1 Pa 2.10
O: 0.5686 0.3186 0.2500  2 Te 1.98
O: 0.7818 0.0696 0.1004  1 Te 1.94, 1 Pa 2.10
O: 0.7818 0.6813 0.7122  1 Te 1.94, 1 Pa 2.10
O: 0.8494 0.0994 0.7500  1 I 2.02

=====

# 8
Compound: PaTeIO4
Source: the Alexandria database
Functional: GGA-PBE
Structure: optimized geometry

## Properties
- calculated total energy (Ha/atom) = -0.2516
- total magnetization (μB/cell) = 0.00
- SG = No. 12
- calculated volume (Å³ per cell) = 338.39
- formation energy from raw total energies (eV/f.u.) = -13.90
- density (g/cm³) = 5.39

Lattice parameters (Å, degrees): 8.0997 8.0997 6.8204 97.88 97.88 49.91
Closest atoms and distances in Å follow each position.
Positions (direct):
Pa: 0.2320 0.2320 0.3324  2 O 1.97-2.11
Pa: 0.7680 0.7680 0.6676  2 O 1.97-2.11
Te: 0.1371 0.1371 0.7421  3 O 1.95
Te: 0.8629 0.8629 0.2579  3 O 1.95
I: 0.4333 0.4333 0.2226  1 Pa 3.16, 2 O 3.36
I: 0.5667 0.5667 0.7774  1 Pa 3.16, 2 O 3.36
O: 0.0423 0.4129 0.6705  1 Te 1.95
O: 0.1060 0.1060 0.3964  1 Pa 1.97
O: 0.1887 0.1887 0.0228  1 Te 1.95, 1 Pa 2.11
O: 0.4129 0.0423 0.6705  1 Te 1.95
O: 0.5871 0.9577 0.3295  1 Te 1.95
O: 0.8113 0.8113 0.9772  1 Te 1.95, 1 Pa 2.11
O: 0.8940 0.8940 0.6036  1 Pa 1.97
O: 0.9577 0.5871 0.3295  1 Te 1.95